A relaxed structure of GdThCdPt, computed with GGA-PBE.

Unit cell a=7.3791 b=7.3791 c=7.3791 alpha=90.00 beta=90.00 gamma=90.00
Last column: nearest neighbours and their distance in Å.
Positions (direct):
1 Gd 0.0000 0.0000 0.0000  4 Cd 3.20, 4 Pt 3.20
2 Gd 0.0000 0.5000 0.5000  4 Cd 3.20, 4 Pt 3.20
3 Gd 0.5000 0.0000 0.5000  4 Cd 3.20, 4 Pt 3.20
4 Gd 0.5000 0.5000 0.0000  4 Cd 3.20, 4 Pt 3.20
5 Th 0.0000 0.0000 0.5000  4 Cd 3.20, 4 Pt 3.20
6 Th 0.0000 0.5000 0.0000  4 Cd 3.20, 4 Pt 3.20
7 Th 0.5000 0.0000 0.0000  4 Cd 3.20, 4 Pt 3.20
8 Th 0.5000 0.5000 0.5000  4 Cd 3.20, 4 Pt 3.20
9 Cd 0.2500 0.2500 0.2500  4 Th 3.20, 4 Gd 3.20
10 Cd 0.2500 0.7500 0.7500  4 Gd 3.20, 4 Th 3.20
11 Cd 0.7500 0.2500 0.7500  4 Gd 3.20, 4 Th 3.20
12 Cd 0.7500 0.7500 0.2500  4 Gd 3.20, 4 Th 3.20
13 Pt 0.2500 0.2500 0.7500  4 Gd 3.20, 4 Th 3.20
14 Pt 0.2500 0.7500 0.2500  4 Gd 3.20, 4 Th 3.20
15 Pt 0.7500 0.2500 0.2500  4 Gd 3.20, 4 Th 3.20
16 Pt 0.7500 0.7500 0.7500  4 Gd 3.20, 4 Th 3.20

Values from the calculation:
Calculated volume = 401.8 Å³ per cell
Final energy = -7.6744 eV per atom
Formation energy = -0.560 eV/atom

A relaxed structure of BaAlHg2, computed with GGA-PBE.

Unit cell a=4.0384 b=4.7842 c=6.5535 alpha=90.00 beta=104.60 gamma=90.00
Last column: nearest neighbours and their distance in Å.
Positions (direct):
1 Ba 0.0000 0.0000 0.0000  6 Hg 3.38-3.75, 2 Al 3.63
2 Al 0.2768 0.5000 0.6608  3 Hg 2.66-2.97
3 Hg 0.4187 0.0000 0.5276  2 Al 2.66
4 Hg 0.6631 0.5000 0.2992  2 Al 2.97-3.15, 2 Hg 3.11

Values from the calculation:
Calculated volume = 122.5 Å³ per cell
Final energy = -1.7385 eV per atom
Formation energy = -0.171 eV/atom

A relaxed structure of CsVAs2Pd, computed with GGA-PBE.

Unit cell a=5.7445 b=5.7445 c=5.1093 alpha=90.00 beta=90.00 gamma=90.00
Last column: nearest neighbours and their distance in Å.
Positions (direct):
1 Cs 0.0000 0.0000 0.0000  2 Pd 2.55
2 V 0.5000 0.5000 0.5000  8 As 3.84, 4 Pd 4.06
3 As 0.0000 0.5000 0.0000  2 Cs 2.87
4 As 0.5000 0.0000 0.0000  2 Cs 2.87
5 Pd 0.0000 0.0000 0.5000  2 Cs 2.55

Values from the calculation:
Calculated volume = 168.6 Å³ per cell
Final energy = -2.9432 eV per atom
Formation energy = 1.950 eV/atom

A relaxed structure of Pb4IF6, computed with GGA-PBE.

Unit cell a=7.7464 b=7.7464 c=4.0569 alpha=90.00 beta=90.00 gamma=120.00
Last column: nearest neighbours and their distance in Å.
Positions (direct):
1 Pb 0.0000 0.0000 0.0000  9 F 2.66-2.68
2 Pb 0.5219 0.0438 0.5000  6 F 2.63-2.77
3 Pb 0.5219 0.4781 0.5000  6 F 2.63-2.77
4 Pb 0.9562 0.4781 0.5000  6 F 2.63-2.77
5 I 0.3333 0.6667 0.0000  6 Pb 3.24, 6 F 3.40
6 F 0.1302 0.2604 0.5000  4 Pb 2.63-2.68
7 F 0.1302 0.8698 0.5000  4 Pb 2.63-2.68
8 F 0.3969 0.1984 0.0000  5 Pb 2.66-2.77
9 F 0.7396 0.8698 0.5000  4 Pb 2.63-2.68
10 F 0.8016 0.1984 0.0000  5 Pb 2.66-2.77
11 F 0.8016 0.6031 0.0000  5 Pb 2.66-2.77

Values from the calculation:
Calculated volume = 210.8 Å³ per cell
Final energy = -4.3871 eV per atom
Raw formation energy = -20.65 eV per formula unit

A relaxed structure of Ti5Sn2W, computed with GGA-PBE.

Unit cell a=4.8047 b=4.8047 c=12.2640 alpha=90.00 beta=90.00 gamma=90.00
Last column: nearest neighbours and their distance in Å.
Positions (direct):
1 Ti 0.0000 0.0000 0.0000  8 Ti 2.79, 2 Sn 3.06
2 Ti 0.0000 0.5000 0.1151  2 W 2.79, 3 Ti 2.79-2.82, 4 Sn 2.92
3 Ti 0.0000 0.5000 0.3849  2 W 2.79, 3 Ti 2.79-2.82, 4 Sn 2.92
4 Ti 0.0000 0.5000 0.6151  3 Ti 2.79-2.82, 2 W 2.79, 4 Sn 2.92
5 Ti 0.0000 0.5000 0.8849  2 W 2.79, 3 Ti 2.79-2.82, 4 Sn 2.92
6 Ti 0.5000 0.0000 0.1151  2 W 2.79, 3 Ti 2.79-2.82, 4 Sn 2.92
7 Ti 0.5000 0.0000 0.3849  2 W 2.79, 3 Ti 2.79-2.82, 4 Sn 2.92
8 Ti 0.5000 0.0000 0.6151  3 Ti 2.79-2.82, 2 W 2.79, 4 Sn 2.92
9 Ti 0.5000 0.0000 0.8849  2 W 2.79, 3 Ti 2.79-2.82, 4 Sn 2.92
10 Ti 0.5000 0.5000 0.5000  8 Ti 2.79, 2 Sn 3.06
11 Sn 0.0000 0.0000 0.2499  9 Ti 2.92-3.06, 1 W 3.07
12 Sn 0.0000 0.0000 0.7501  9 Ti 2.92-3.06, 1 W 3.07
13 Sn 0.5000 0.5000 0.2501  9 Ti 2.92-3.06, 1 W 3.07
14 Sn 0.5000 0.5000 0.7499  9 Ti 2.92-3.06, 1 W 3.07
15 W 0.0000 0.0000 0.5000  8 Ti 2.79, 2 Sn 3.07
16 W 0.5000 0.5000 0.0000  8 Ti 2.79, 2 Sn 3.07

Values from the calculation:
Calculated volume = 283.1 Å³ per cell
Final energy = -7.8020 eV per atom
Formation energy = -0.248 eV/atom

A relaxed structure of Sr4Ag2Au5, computed with GGA-PBE.

Unit cell a=7.7050 b=4.4029 c=8.7919 alpha=90.00 beta=90.88 gamma=90.00
Last column: nearest neighbours and their distance in Å.
Positions (direct):
1 Sr 0.2339 0.0000 0.1286  6 Au 3.16-3.29, 2 Ag 3.27
2 Sr 0.2619 0.0000 0.6264  4 Au 3.20-3.30, 4 Ag 3.44-3.45
3 Sr 0.7381 0.0000 0.3736  4 Au 3.20-3.30, 4 Ag 3.44-3.45
4 Sr 0.7661 0.0000 0.8714  6 Au 3.16-3.29, 2 Ag 3.27
5 Ag 0.0810 0.5000 0.3661  1 Ag 2.68, 2 Au 2.75-2.77
6 Ag 0.9190 0.5000 0.6339  1 Ag 2.68, 2 Au 2.75-2.77
7 Au 0.1391 0.5000 0.8828  1 Ag 2.75, 2 Au 2.95-3.00
8 Au 0.4387 0.5000 0.3440  1 Ag 2.77, 2 Au 2.89-3.07
9 Au 0.5000 0.5000 0.0000  4 Au 2.95-3.07, 4 Sr 3.22
10 Au 0.5613 0.5000 0.6560  1 Ag 2.77, 2 Au 2.89-3.07
11 Au 0.8609 0.5000 0.1172  1 Ag 2.75, 2 Au 2.95-3.00

Values from the calculation:
Calculated volume = 298.2 Å³ per cell
Final energy = -3.2119 eV per atom
Formation energy = -0.592 eV/atom